Entry from Alexandria via LeMat-Bulk: a relaxed structure of Sr2AlFeCu2O7 (PBEsol).

a b c (Å): 5.2570 5.3183 11.9416
angles (deg): 102.85 102.72 90.00
Positions (direct):
Cu  0.5807  0.0585  0.1178
Sr  0.6600  0.6361  0.2965
Cu  0.0803  0.5603  0.1176
O  0.3600  0.1478  0.5000
O  0.2025  0.6474  0.3459
O  0.7884  0.1232  0.8896
Al  0.5212  0.5000  0.0000
Fe  0.7244  0.1831  0.4999
O  0.3987  0.7346  0.1104
O  0.2883  0.2654  0.8896
Cu  0.4628  0.9415  0.8822
O  0.8600  0.8522  0.5000
Sr  0.8637  0.8392  0.7035
Sr  0.1601  0.1608  0.2965
Fe  0.2245  0.8169  0.5001
O  0.3566  0.8014  0.6543
Sr  0.3636  0.3639  0.7035
O  0.8988  0.8768  0.1104
O  0.1471  0.7646  0.8906
O  0.8565  0.3526  0.6541
O  0.7023  0.1986  0.3457
Cu  0.9627  0.4397  0.8824
Al  0.0222  0.0000  0.0000
O  0.2565  0.2354  0.1094
O  0.7564  0.3750  0.1094
O  0.6470  0.6250  0.8906

Results
Formation energy without anion corrections ... -24.00 eV per formula unit
Density of states at the Fermi level ... 9.2 states/eV/cell
M_tot ... 4.7 μB/f.u.
SG ... C2, No. 5